VASP calculation (meta-GGA SCAN) on a PBEsol-optimized structure of Li4ZrBe.

## Properties
E_form ... 408 meV per atom
Size of the total moment ... 0.000 μB per atom
Theoretical density ... 2.4 g/cm³
D(E_F) ... 0.352 states/eV per atom

abc: 7.1172 7.1172 7.1172
angles: 90.00 90.00 90.00
Closest atoms and distances in Å follow each position.
Space group F-43m (No. 216)
Asymmetric unit:
Li  0.1231  0.1231  0.3769 x16  6 Li 2.48-2.55
Zr  0.0000  0.0000  0.0000 x4  12 Li 2.95, 4 Be 3.08
Be  0.2500  0.2500  0.7500 x4  12 Li 2.95, 4 Zr 3.08